SiOs3I: optimized geometry, PBEsol.

a = 4.760 Å, b = 4.760 Å, c = 4.760 Å
α = 90.00°, β = 90.00°, γ = 90.00°
Fractional positions:
Si (0.000, 0.000, 0.000)
Os (0.000, 0.500, 0.500)
Os (0.500, 0.000, 0.500)
Os (0.500, 0.500, 0.000)
I (0.500, 0.500, 0.500)

## Properties
Theoretical density: 11.17 Mg/m³
Uncorrected formation energy: 3037.2 meV/atom